(1)
Material: La2MgW
Method: DFT, SCAN
State: single point on PBEsol structure

Unit cell a=5.583 b=5.583 c=5.583 alpha=131.51 beta=131.51 gamma=71.01
Fractional coordinates of all 4 atoms:
La  0.000  0.000  0.000
La  0.750  0.250  0.500
Mg  0.500  0.500  0.000
W  0.250  0.750  0.500

Calculated values
- ΔH_f (0 K): 0.600 eV per atom

(2)
Material: LiSb2F7
Method: DFT, SCAN
State: single point on PBEsol structure

Unit cell a=8.460 b=14.297 c=4.828 alpha=90.00 beta=90.00 gamma=90.00
Fractional coordinates of all 40 atoms:
Li  0.071  0.250  0.131
Li  0.429  0.750  0.631
Li  0.571  0.250  0.369
Li  0.929  0.750  0.869
Sb  0.111  0.599  0.303
Sb  0.111  0.901  0.303
Sb  0.389  0.099  0.803
Sb  0.389  0.401  0.803
Sb  0.611  0.599  0.197
Sb  0.611  0.901  0.197
Sb  0.889  0.099  0.697
Sb  0.889  0.401  0.697
F  0.011  0.656  0.627
F  0.011  0.844  0.627
F  0.094  0.750  0.151
F  0.154  0.005  0.587
F  0.154  0.495  0.587
F  0.187  0.150  0.940
F  0.187  0.350  0.940
F  0.313  0.650  0.440
F  0.313  0.850  0.440
F  0.346  0.505  0.087
F  0.346  0.995  0.087
F  0.406  0.250  0.651
F  0.489  0.156  0.127
F  0.489  0.344  0.127
F  0.511  0.656  0.873
F  0.511  0.844  0.873
F  0.594  0.750  0.349
F  0.654  0.005  0.913
F  0.654  0.495  0.913
F  0.687  0.150  0.560
F  0.687  0.350  0.560
F  0.813  0.650  0.060
F  0.813  0.850  0.060
F  0.846  0.505  0.413
F  0.846  0.995  0.413
F  0.906  0.250  0.849
F  0.989  0.156  0.373
F  0.989  0.344  0.373

Calculated values
- Formation energy without anion corrections: -2569.3 meV/atom

(3)
Material: SiAuCl2
Method: DFT, SCAN
State: single point on PBEsol structure

Unit cell a=3.046 b=3.046 c=9.143 alpha=90.00 beta=90.00 gamma=90.00
Fractional coordinates of all 4 atoms:
Si  0.000  0.000  0.000
Au  0.000  0.000  0.500
Cl  0.500  0.500  0.177
Cl  0.500  0.500  0.823

Calculated values
- Formation energy without anion corrections: 301.1 meV/atom

(4)
Material: YTeMo2
Method: DFT, SCAN
State: single point on PBEsol structure

Unit cell a=3.448 b=4.872 c=4.998 alpha=90.00 beta=92.03 gamma=90.00
Fractional coordinates of all 4 atoms:
Y  0.000  0.000  0.000
Te  0.500  0.000  0.500
Mo  0.416  0.500  0.777
Mo  0.584  0.500  0.223

Calculated values
- Formation energy without anion corrections: 224.2 meV/atom

(5)
Material: LiYMo2O8
Method: DFT, SCAN
State: single point on PBEsol structure

Unit cell a=5.123 b=6.626 c=10.276 alpha=103.42 beta=96.58 gamma=112.49
Fractional coordinates of all 24 atoms:
Li  0.192  0.227  0.376
Li  0.808  0.773  0.624
Y  0.187  0.327  0.062
Y  0.813  0.673  0.938
Mo  0.080  0.360  0.704
Mo  0.473  0.029  0.816
Mo  0.527  0.971  0.184
Mo  0.920  0.640  0.296
O  0.072  0.434  0.267
O  0.207  0.911  0.340
O  0.215  0.699  0.087
O  0.223  0.998  0.931
O  0.237  0.382  0.566
O  0.258  0.006  0.668
O  0.336  0.409  0.863
O  0.437  0.207  0.209
O  0.563  0.793  0.791
O  0.664  0.591  0.137
O  0.742  0.994  0.332
O  0.763  0.618  0.434
O  0.777  0.002  0.069
O  0.785  0.301  0.913
O  0.793  0.089  0.660
O  0.928  0.566  0.733

Calculated values
- Formation energy without anion corrections: -2630.8 meV/atom

(6)
Material: AgMo2As
Method: DFT, SCAN
State: single point on PBEsol structure

Unit cell a=4.845 b=4.845 c=4.845 alpha=132.08 beta=132.08 gamma=70.11
Fractional coordinates of all 4 atoms:
Ag  0.000  0.000  0.000
Mo  0.250  0.750  0.500
Mo  0.500  0.500  0.000
As  0.750  0.250  0.500

Calculated values
- ΔH_f (0 K): 0.470 eV per atom

no.,VASP energy (eV/atom)
1,-39.62
2,-12.74
3,-23.48
4,-33.49
5,-15.12
6,-29.86